[1]
DFT (PBE) results for a relaxed TbY4Th3 crystal.

Values from the calculation:
- total DFT energy (no corrections) (eV/atom) = -6.558
- DFT formation energy (meV per atom) = 35

Geometry as CIF:
```
data_TbY4Th3
_chemical_formula_sum 'Tb2 Y8 Th6'
_space_group_name_H-M_alt 'P m m n'
_space_group_IT_number 59
_cell_length_a 5.050
_cell_length_b 10.122
_cell_length_c 10.148
_cell_angle_alpha 90.00
_cell_angle_beta 90.00
_cell_angle_gamma 90.00
loop_
_space_group_symop_operation_xyz
'x,y,z'
'-x,-y,-z'
'-x+1/2,-y+1/2,z'
'x+1/2,y+1/2,-z'
'x+1/2,-y,-z'
'-x+1/2,y,z'
'-x,y+1/2,-z'
'x,-y+1/2,z'
loop_
_atom_site_label
_atom_site_type_symbol
_atom_site_fract_x
_atom_site_fract_y
_atom_site_fract_z
Tb1 Tb 0.250 0.250 0.122
Y1 Y 0.250 0.250 0.631
Y2 Y 0.250 0.501 0.371
Y3 Y 0.250 0.750 0.627
Th1 Th 0.250 0.003 0.878
Th2 Th 0.250 0.750 0.123
```

[2]
DFT (PBE) results for a relaxed TbY12Th5 crystal.

Values from the calculation:
- total DFT energy (no corrections) (eV/atom) = -6.503
- DFT formation energy (meV per atom) = 125

Geometry as CIF:
```
data_TbY12Th5
_chemical_formula_sum 'Tb2 Y24 Th10'
_space_group_name_H-M_alt 'C 1 2/m 1'
_space_group_IT_number 12
_space_group_name_Hall '-C 2y'
_cell_length_a 11.483
_cell_length_b 17.324
_cell_length_c 5.876
_cell_angle_alpha 90.00
_cell_angle_beta 90.13
_cell_angle_gamma 90.00
loop_
_atom_site_label
_atom_site_type_symbol
_atom_site_fract_x
_atom_site_fract_y
_atom_site_fract_z
Tb1 Tb 0.000 0.000 0.000
Y1 Y 0.168 0.500 0.038
Y2 Y 0.173 0.000 0.461
Y3 Y 0.174 0.166 0.038
Y4 Y 0.174 0.334 0.461
Th1 Th 0.000 0.167 0.500
Th2 Th 0.000 0.330 0.000
Th3 Th 0.000 0.500 0.500
```

[3]
DFT (PBE) results for a relaxed Tb8Y2Th3 crystal.

Values from the calculation:
- total DFT energy (no corrections) (eV/atom) = -5.288
- DFT formation energy (meV per atom) = 268

Geometry as CIF:
```
data_Tb8Y2Th3
_chemical_formula_sum 'Tb16 Y4 Th6'
_space_group_name_H-M_alt 'C 1 2/m 1'
_space_group_IT_number 12
_space_group_name_Hall '-C 2y'
_cell_length_a 20.023
_cell_length_b 7.865
_cell_length_c 5.596
_cell_angle_alpha 90.00
_cell_angle_beta 90.05
_cell_angle_gamma 90.00
loop_
_atom_site_label
_atom_site_type_symbol
_atom_site_fract_x
_atom_site_fract_y
_atom_site_fract_z
Tb1 Tb 0.107 0.205 0.000
Tb2 Tb 0.128 0.500 0.500
Tb3 Tb 0.169 0.000 0.501
Y1 Y 0.239 0.500 0.999
Th1 Th 0.000 0.205 0.500
Th2 Th 0.000 0.500 0.000
```